Material: KNa2MgTl
Method: DFT, GGA-PBE
State: relaxed

As for the uncorrected energy: -1.486 eV per atom. For the size of the total moment, the calculation gives 0.000 μB/atom.

It has space group P4/mmm (No. 123), with a = 6.065 Å, b = 6.065 Å, c = 5.530 Å, α = 90.00°, β = 90.00° and γ = 90.00°. Symmetry generates all atoms from K at (0.000, 0.000, 0.000), Na at (0.000, 0.500, 0.500), Mg at (0.500, 0.500, 0.000) and Tl at (0.500, 0.500, 0.500).